An optimized crystal structure of Ni2RhF. Source: Alexandria, functional GGA+U.

Values from the calculation:
Total magnetization, μB/f.u.: 3.1
Energy relative to the lowest polymorph listed for this composition, meV per atom: 648

Unit cell a=5.783 b=5.783 c=5.783 alpha=90.00 beta=90.00 gamma=90.00
Positions (direct):
Ni 0.250 0.250 0.250
Ni 0.250 0.250 0.750
Ni 0.250 0.750 0.250
Ni 0.250 0.750 0.750
Ni 0.750 0.250 0.250
Ni 0.750 0.250 0.750
Ni 0.750 0.750 0.250
Ni 0.750 0.750 0.750
Rh 0.000 0.000 0.000
Rh 0.000 0.500 0.500
Rh 0.500 0.000 0.500
Rh 0.500 0.500 0.000
F 0.000 0.000 0.500
F 0.000 0.500 0.000
F 0.500 0.000 0.000
F 0.500 0.500 0.500